Material: GaAg2Os
Method: DFT, PBE
State: relaxed

Cell lengths 4.492, 4.492, 4.492 Å; angles 60.00, 60.00, 60.00 degrees
Element x y z (fractional)
Ag  0.000  0.000  0.000
Ag  0.750  0.750  0.750
Ga  0.500  0.500  0.500
Os  0.250  0.250  0.250

## Properties
As for the magnetization: 0.0 μB per formula unit. The uncorrected energy comes out at -4.54 eV per atom. The space-group type is F-43m.